Computed, not measured: crystalline Rb2SrAuI5 at its relaxed geometry at the PBE level of DFT. Values from VASP.

Summary:
The volume is 44.5 A^3/atom. Its total energy is -51.6 eV/cell. The formation energy (no corrections) is -1.2399 eV/atom.

```
&SYSTEM
  ibrav = 0, nat = 18, ntyp = 4
/
ATOMIC_SPECIES
Rb 85.47 Rb.upf
Au 196.97 Au.upf
Sr 87.62 Sr.upf
I 126.90 I.upf
CELL_PARAMETERS angstrom
4.7698 0.0000 0.0000
-2.3849 10.8655 0.0000
0.0000 0.0000 15.4387
ATOMIC_POSITIONS angstrom
Rb 0.0000 2.6649 10.7603
Rb 2.3849 8.2005 3.0409
Rb 2.3849 8.2206 12.8923
Rb 0.0000 2.6449 5.1729
Au 2.3849 0.7463 14.4403
Au 0.0000 10.1191 6.7210
Sr 2.3849 6.5627 7.9655
Sr 0.0000 4.3028 0.2462
I 0.0000 0.9424 0.4225
I 2.3849 4.3304 13.3838
I 2.3849 3.2950 7.9702
I 2.3849 9.9231 8.1419
I 0.0000 10.8647 4.1058
I 2.3849 0.0008 11.8252
I 0.0000 7.5704 0.2509
I 2.3849 4.3024 2.5351
I 0.0000 6.5631 10.2544
I 0.0000 6.5350 5.6644
```

***

Computed, not measured: crystalline Pm2Al4SiPt3 at its relaxed geometry at the PBE level of DFT. Values from VASP.

Summary:
The volume is 19.0 A^3/atom. Its total energy is -57.8 eV/cell. The formation energy (no corrections) is -0.9781 eV/atom.

```
&SYSTEM
  ibrav = 0, nat = 10, ntyp = 4
/
ATOMIC_SPECIES
Pt 195.08 Pt.upf
Al 26.98 Al.upf
Pm 145.00 Pm.upf
Si 28.09 Si.upf
CELL_PARAMETERS angstrom
-1.9532 -2.8859 -2.4807
2.4788 -3.0805 1.6320
-7.0195 -1.6829 7.4847
ATOMIC_POSITIONS angstrom
Pt -7.0827 -2.9069 5.2704
Pt -3.5097 -0.8415 3.7423
Pt 0.3260 -1.7593 1.7900
Al 0.2628 -2.9832 -0.4243
Al -1.3287 -2.1560 3.5543
Al -5.4280 -2.5102 3.5060
Al 0.0000 0.0000 0.0000
Pm -2.7550 -1.8693 0.6559
Pm -4.0017 -2.7968 6.4044
Si -3.2470 -3.8247 3.3180
```

***

Computed, not measured: crystalline Sm2P3Pd5 at its relaxed geometry at the PBE level of DFT. Values from VASP.

Summary:
The volume is 17.5 A^3/atom. Its total energy is -121.0 eV/cell. The value obtained for the formation enthalpy at 0 K is -0.8872 eV/atom.

```
&SYSTEM
  ibrav = 0, nat = 20, ntyp = 3
/
ATOMIC_SPECIES
Pd 106.42 Pd.upf
P 30.97 P.upf
Sm 150.36 Sm.upf
CELL_PARAMETERS angstrom
-3.2912 1.9536 1.7688
-3.4953 -6.0902 0.2229
6.1198 -3.1519 9.8432
ATOMIC_POSITIONS angstrom
Pd -0.7549 -4.8795 9.0102
Pd -1.2626 -2.2261 5.1348
Pd 2.0727 -1.4156 10.4456
Pd 0.3758 -0.0085 5.7339
Pd -0.3638 -6.7345 6.7613
Pd 2.0807 -4.3666 8.6945
Pd -1.5166 -3.7422 1.3113
Pd -4.0107 -5.1231 3.2210
Pd 0.7028 -4.2390 5.9897
Pd 0.4640 -1.7541 2.8008
P -3.0307 -6.1981 1.2065
P 0.7222 -3.9511 10.7331
P -1.6361 -4.4334 6.8777
P 3.2380 -2.1831 8.4363
P -2.7036 -3.0125 3.3220
P 1.3611 -2.1726 4.9322
Sm -2.3900 -0.7954 1.4566
Sm -1.0396 -5.2916 3.9101
Sm 1.5557 -6.7851 10.3890
Sm 0.4133 -1.9264 7.9222
```

***

Computed, not measured: crystalline Li3SiO4 at its relaxed geometry at the PBE level of DFT. Values from VASP.

Summary:
The volume is 10.5 A^3/atom. Its total energy is -96.8 eV/cell. The formation energy (no corrections) is -2.1748 eV/atom.

```
&SYSTEM
  ibrav = 0, nat = 16, ntyp = 3
/
ATOMIC_SPECIES
Si 28.09 Si.upf
O 16.00 O.upf
Li 6.94 Li.upf
CELL_PARAMETERS angstrom
4.8890 0.0000 0.0000
0.0000 5.4586 0.0000
0.0000 0.0000 6.2923
ATOMIC_POSITIONS angstrom
Si 0.0007 0.9372 0.0000
Si 2.4453 4.5214 3.1462
O 3.2472 0.9716 0.0000
O 0.4989 4.8276 0.0000
O 0.5043 1.7245 1.3568
O 2.9488 3.7342 1.7893
O 2.9434 0.6310 3.1462
O 2.9488 3.7342 4.5030
O 0.8027 4.4870 3.1462
O 0.5043 1.7245 4.9355
Li 0.0738 0.8822 3.1462
Li 0.0672 3.6422 1.5372
Li 2.5117 1.8165 4.6834
Li 2.5183 4.5764 0.0000
Li 2.5117 1.8165 1.6089
Li 0.0672 3.6422 4.7551
```

***

Computed, not measured: crystalline YMnP2 at its relaxed geometry at the PBE level of DFT. Values from VASP.

Summary:
The volume is 18.0 A^3/atom. Its total energy is -29.2 eV/cell. The value obtained for the relative energy among the computed polymorphs is 136.7 meV/atom. The value obtained for the formation enthalpy at 0 K is -0.6908 eV/atom.

```
&SYSTEM
  ibrav = 0, nat = 4, ntyp = 3
/
ATOMIC_SPECIES
P 30.97 P.upf
Mn 54.94 Mn.upf
Y 88.91 Y.upf
CELL_PARAMETERS angstrom
3.8206 0.0000 0.0000
0.0000 3.8167 -0.0170
0.0000 0.0239 4.9262
ATOMIC_POSITIONS angstrom
P 0.0000 2.8740 2.3924
P 0.0000 2.8631 0.0451
Mn 1.9103 2.8805 3.6819
Y 1.9103 0.9602 1.2273
```

***

Computed, not measured: crystalline Ba5SrIr at its relaxed geometry at the PBE level of DFT. Values from VASP.

Summary:
The volume is 62.6 A^3/atom. Its total energy is -39.6 eV/cell. The value obtained for the formation enthalpy at 0 K is 0.0477 eV/atom.

```
&SYSTEM
  ibrav = 0, nat = 14, ntyp = 3
/
ATOMIC_SPECIES
Ba 137.33 Ba.upf
Ir 192.22 Ir.upf
Sr 87.62 Sr.upf
CELL_PARAMETERS angstrom
10.1807 -0.6625 2.2114
-3.4363 9.5386 2.4862
1.5071 1.7063 10.1883
ATOMIC_POSITIONS angstrom
Ba -2.2067 7.5947 4.3985
Ba 7.2727 8.2888 13.1893
Ba 8.0848 2.4656 6.7458
Ba 0.9787 2.2937 1.6966
Ba 4.6161 2.4685 4.2890
Ba 10.4581 2.9878 10.4874
Ba 0.1666 8.1169 8.1401
Ba 3.6353 8.1140 10.5969
Ba 4.0146 8.7296 6.3008
Ba 4.2368 1.8528 8.5851
Ir 5.8439 0.5219 6.1999
Ir 0.0000 0.0000 0.0000
Sr 6.6087 4.9745 10.2372
Sr 1.6427 5.6080 4.6487
```

***

Computed, not measured: crystalline NdErHgRu at its relaxed geometry at the PBE level of DFT. Values from VASP.

Summary:
The volume is 23.6 A^3/atom. Its total energy is -20.6 eV/cell. The value obtained for the relative energy among the computed polymorphs is 0.0 meV/atom. The value obtained for the formation enthalpy at 0 K is -0.4137 eV/atom.

```
&SYSTEM
  ibrav = 0, nat = 4, ntyp = 4
/
ATOMIC_SPECIES
Er 167.26 Er.upf
Nd 144.24 Nd.upf
Hg 200.59 Hg.upf
Ru 101.07 Ru.upf
CELL_PARAMETERS angstrom
-0.8936 -3.1943 1.1530
-0.2348 -1.1312 -3.3162
7.3730 -2.0042 0.1618
ATOMIC_POSITIONS angstrom
Er 2.0144 -2.8638 -1.0250
Nd 5.2617 -3.7465 -0.9538
Hg 0.6527 -0.1774 0.0143
Ru 4.1014 -1.1149 0.0900
```

***

Computed, not measured: crystalline K5NaBi2 at its relaxed geometry at the PBE level of DFT. Values from VASP.

Summary:
The volume is 46.7 A^3/atom. Its total energy is -34.5 eV/cell. The value obtained for the formation enthalpy at 0 K is -0.3373 eV/atom.

```
&SYSTEM
  ibrav = 0, nat = 16, ntyp = 3
/
ATOMIC_SPECIES
Bi 208.98 Bi.upf
K 39.10 K.upf
Na 22.99 Na.upf
CELL_PARAMETERS angstrom
6.2661 0.0000 0.0000
-3.1330 5.4266 0.0000
0.0000 0.0000 21.9711
ATOMIC_POSITIONS angstrom
Bi 0.0000 3.6177 8.4707
Bi 0.0000 3.6177 2.5148
Bi 3.1331 1.8089 19.4562
Bi 3.1331 1.8089 13.5004
K 0.0000 0.0000 8.1629
K 0.0000 0.0000 2.8226
K 0.0000 0.0000 13.8082
K 3.1331 1.8089 5.4928
K 0.0000 0.0000 19.1484
K 0.0000 3.6177 16.4783
K 3.1331 1.8089 1.1338
K 3.1331 1.8089 9.8518
K 0.0000 3.6177 12.1193
K 0.0000 3.6177 20.8373
Na 0.0000 3.6177 5.4928
Na 3.1331 1.8089 16.4783
```

***

Computed, not measured: crystalline La3CeN at its relaxed geometry at the PBE level of DFT. Values from VASP.

Summary:
The volume is 28.0 A^3/atom. Its total energy is -31.1 eV/cell. The formation energy (no corrections) is -0.4039 eV/atom.

```
&SYSTEM
  ibrav = 0, nat = 5, ntyp = 3
/
ATOMIC_SPECIES
N 14.01 N.upf
La 138.91 La.upf
Ce 140.12 Ce.upf
CELL_PARAMETERS angstrom
5.1931 0.0000 0.0000
0.0000 5.1931 0.0000
0.0000 0.0000 5.1931
ATOMIC_POSITIONS angstrom
N 0.0000 0.0000 0.0000
La 2.5966 0.0000 0.0000
La 0.0000 0.0000 2.5966
La 0.0000 2.5966 0.0000
Ce 2.5966 2.5966 2.5966
```

***

Computed, not measured: crystalline LaHo2In3Te6 at its relaxed geometry at the PBE level of DFT. Values from VASP.

Summary:
The volume is 35.2 A^3/atom. Its total energy is -53.1 eV/cell. The formation energy (no corrections) is -0.9943 eV/atom.

```
&SYSTEM
  ibrav = 0, nat = 12, ntyp = 4
/
ATOMIC_SPECIES
In 114.82 In.upf
Te 127.60 Te.upf
La 138.91 La.upf
Ho 164.93 Ho.upf
CELL_PARAMETERS angstrom
7.7510 0.0021 0.0007
-3.8718 6.7147 0.0007
-1.2930 -2.2388 8.1056
ATOMIC_POSITIONS angstrom
In 1.2931 2.2390 4.0535
In -2.6170 4.4973 4.0535
In 5.2033 -0.0193 4.0535
Te -1.3378 2.3230 1.7990
Te 2.6806 0.0022 1.7990
Te 3.9240 2.1550 6.3079
Te -0.0944 4.4758 6.3079
Te 0.0488 0.0845 6.3372
Te 2.5374 4.3935 1.7698
La 0.0000 0.0000 0.0000
Ho 3.8816 2.2368 0.0007
Ho -0.0024 4.4800 0.0007
```

***

Computed, not measured: crystalline AcNd2Y at its relaxed geometry at the PBE level of DFT. Values from VASP.

Summary:
The volume is 36.6 A^3/atom. Its total energy is -20.0 eV/cell. The value obtained for the relative energy among the computed polymorphs is 0.0 meV/atom. The value obtained for the formation enthalpy at 0 K is 0.0280 eV/atom.

```
&SYSTEM
  ibrav = 0, nat = 4, ntyp = 3
/
ATOMIC_SPECIES
Y 88.91 Y.upf
Ac 227.00 Ac.upf
Nd 144.24 Nd.upf
CELL_PARAMETERS angstrom
5.3042 0.0000 0.0000
0.0000 5.2529 0.0000
0.0000 0.0000 5.2529
ATOMIC_POSITIONS angstrom
Y 2.6521 0.0000 0.0000
Ac 2.6521 2.6264 2.6264
Nd 0.0000 2.6264 0.0000
Nd 0.0000 0.0000 2.6264
```

***

Computed, not measured: crystalline Mg2Re3 at its relaxed geometry at the PBE level of DFT. Values from VASP.

Summary:
The volume is 16.1 A^3/atom. Its total energy is -39.2 eV/cell. The value obtained for the relative energy among the computed polymorphs is 0.0 meV/atom. The value obtained for the formation enthalpy at 0 K is 0.2614 eV/atom.

```
&SYSTEM
  ibrav = 0, nat = 5, ntyp = 2
/
ATOMIC_SPECIES
Re 186.21 Re.upf
Mg 24.30 Mg.upf
CELL_PARAMETERS angstrom
11.7057 -1.4103 -0.0006
11.7057 1.4103 -0.0006
11.5359 0.0000 2.4361
ATOMIC_POSITIONS angstrom
Re 28.0977 0.0000 1.9576
Re 6.8496 0.0000 0.4772
Re 0.0000 0.0000 0.0000
Mg 20.9385 0.0000 1.4588
Mg 14.0089 0.0000 0.9760
```